(1)
# TbPr2 PBE-GGA relaxed
# **Energy of formation**: 2.0 eV/f.u.
# **Symmetry**: I4/mmm (139)
# **Final energy**: -4.0468 eV per atom
data_TbPr2
_symmetry_space_group_name_H-M 'P 1'
_symmetry_Int_Tables_number 1
_cell_length_a 5.581
_cell_length_b 5.581
_cell_length_c 5.581
_cell_angle_alpha 120.27
_cell_angle_beta 120.27
_cell_angle_gamma 89.54
loop_
_symmetry_equiv_pos_as_xyz
'x,y,z'
loop_
_atom_site_label
_atom_site_fract_x
_atom_site_fract_y
_atom_site_fract_z
_atom_site_occupancy
Tb1 0.000 0.000 0.000 1
Pr1 0.250 0.750 0.500 1
Pr2 0.750 0.250 0.500 1


(2)
# Tb4Pr3 PBE-GGA relaxed
# **Energy of formation**: 0.1 eV/f.u.
# **Symmetry**: I4/mmm (139)
# **Final energy**: -4.6735 eV per atom
data_Tb4Pr3
_symmetry_space_group_name_H-M 'P 1'
_symmetry_Int_Tables_number 1
_cell_length_a 18.126
_cell_length_b 18.126
_cell_length_c 18.126
_cell_angle_alpha 168.50
_cell_angle_beta 168.50
_cell_angle_gamma 16.29
loop_
_symmetry_equiv_pos_as_xyz
'x,y,z'
loop_
_atom_site_label
_atom_site_fract_x
_atom_site_fract_y
_atom_site_fract_z
_atom_site_occupancy
Tb1 0.072 0.072 0.000 1
Tb2 0.359 0.359 0.000 1
Tb3 0.641 0.641 0.000 1
Tb4 0.928 0.928 0.000 1
Pr1 0.213 0.213 0.000 1
Pr2 0.500 0.500 0.000 1
Pr3 0.787 0.787 0.000 1


(3)
# Tb4Pr5 PBE-GGA relaxed
# **Energy of formation**: 0.1 eV/f.u.
# **Symmetry**: I4/mmm (139)
# **Final energy**: -4.6973 eV per atom
data_Tb4Pr5
_symmetry_space_group_name_H-M 'P 1'
_symmetry_Int_Tables_number 1
_cell_length_a 8.157
_cell_length_b 8.157
_cell_length_c 8.157
_cell_angle_alpha 95.72
_cell_angle_beta 95.72
_cell_angle_gamma 143.20
loop_
_symmetry_equiv_pos_as_xyz
'x,y,z'
loop_
_atom_site_label
_atom_site_fract_x
_atom_site_fract_y
_atom_site_fract_z
_atom_site_occupancy
Tb1 0.167 0.167 0.333 1
Tb2 0.167 0.833 0.000 1
Tb3 0.833 0.167 0.000 1
Tb4 0.833 0.833 0.667 1
Pr1 0.169 0.500 0.669 1
Pr2 0.500 0.169 0.669 1
Pr3 0.500 0.500 0.000 1
Pr4 0.500 0.831 0.331 1
Pr5 0.831 0.500 0.331 1


(4)
# TbPr8 PBE-GGA relaxed
# **Energy of formation**: 0.1 eV/f.u.
# **Symmetry**: I4/mmm (139)
# **Final energy**: -4.7499 eV per atom
data_TbPr8
_symmetry_space_group_name_H-M 'P 1'
_symmetry_Int_Tables_number 1
_cell_length_a 8.271
_cell_length_b 8.271
_cell_length_c 8.271
_cell_angle_alpha 95.74
_cell_angle_beta 95.74
_cell_angle_gamma 143.12
loop_
_symmetry_equiv_pos_as_xyz
'x,y,z'
loop_
_atom_site_label
_atom_site_fract_x
_atom_site_fract_y
_atom_site_fract_z
_atom_site_occupancy
Tb1 0.000 0.000 0.000 1
Pr1 0.000 0.332 0.332 1
Pr2 0.000 0.668 0.668 1
Pr3 0.332 0.000 0.332 1
Pr4 0.334 0.334 0.669 1
Pr5 0.334 0.666 0.000 1
Pr6 0.666 0.334 0.000 1
Pr7 0.666 0.666 0.331 1
Pr8 0.668 0.000 0.668 1


(5)
# Tb13Pr3 PBE-GGA relaxed
# **Energy of formation**: 0.2 eV/f.u.
# **Symmetry**: Amm2 (38)
# **Final energy**: -4.6427 eV per atom
data_Tb13Pr3
_symmetry_space_group_name_H-M 'P 1'
_symmetry_Int_Tables_number 1
_cell_length_a 10.140
_cell_length_b 7.183
_cell_length_c 7.183
_cell_angle_alpha 89.93
_cell_angle_beta 90.00
_cell_angle_gamma 90.00
loop_
_symmetry_equiv_pos_as_xyz
'x,y,z'
loop_
_atom_site_label
_atom_site_fract_x
_atom_site_fract_y
_atom_site_fract_z
_atom_site_occupancy
Tb1 0.000 0.000 0.000 1
Tb2 0.000 0.000 0.497 1
Tb3 0.000 0.496 0.496 1
Tb4 0.000 0.497 0.000 1
Tb5 0.249 0.247 0.247 1
Tb6 0.249 0.247 0.749 1
Tb7 0.249 0.749 0.247 1
Tb8 0.500 0.000 0.000 1
Tb9 0.500 0.000 0.496 1
Tb10 0.500 0.496 0.000 1
Tb11 0.751 0.247 0.247 1
Tb12 0.751 0.247 0.749 1
Tb13 0.751 0.749 0.247 1
Pr1 0.249 0.749 0.749 1
Pr2 0.500 0.496 0.496 1
Pr3 0.751 0.749 0.749 1


(6)
# Tb13Pr3 PBE-GGA relaxed
# **Energy of formation**: 0.4 eV/f.u.
# **Symmetry**: Amm2 (38)
# **Final energy**: -4.6359 eV per atom
data_Tb13Pr3
_symmetry_space_group_name_H-M 'P 1'
_symmetry_Int_Tables_number 1
_cell_length_a 7.312
_cell_length_b 8.536
_cell_length_c 8.536
_cell_angle_alpha 84.50
_cell_angle_beta 90.00
_cell_angle_gamma 90.00
loop_
_symmetry_equiv_pos_as_xyz
'x,y,z'
loop_
_atom_site_label
_atom_site_fract_x
_atom_site_fract_y
_atom_site_fract_z
_atom_site_occupancy
Tb1 0.000 0.000 0.000 1
Tb2 0.000 0.412 0.918 1
Tb3 0.000 0.497 0.497 1
Tb4 0.000 0.918 0.412 1
Tb5 0.249 0.168 0.662 1
Tb6 0.249 0.662 0.168 1
Tb7 0.250 0.249 0.249 1
Tb8 0.500 0.414 0.917 1
Tb9 0.500 0.496 0.496 1
Tb10 0.500 0.917 0.414 1
Tb11 0.750 0.249 0.249 1
Tb12 0.751 0.168 0.662 1
Tb13 0.751 0.662 0.168 1
Pr1 0.248 0.747 0.747 1
Pr2 0.500 0.000 0.000 1
Pr3 0.752 0.747 0.747 1